Model a:
TbPrSmTh: relaxed, PBE.

The structure in CIF format:
```
data_TbPrSmTh
_chemical_formula_sum 'Tb1 Pr1 Sm1 Th1'
_cell_length_a 5.7471
_cell_length_b 5.7471
_cell_length_c 5.7471
_cell_angle_alpha 60.00
_cell_angle_beta 60.00
_cell_angle_gamma 60.00
_space_group_name_H-M_alt 'P 1'
_space_group_IT_number 1
loop_
_space_group_symop_operation_xyz
'x,y,z'
loop_
_atom_site_label
_atom_site_type_symbol
_atom_site_fract_x
_atom_site_fract_y
_atom_site_fract_z
_atom_site_occupancy
Tb1 Tb 0.0000 0.0000 0.0000 1
Pr1 Pr 0.7500 0.7500 0.7500 1
Sm1 Sm 0.5000 0.5000 0.5000 1
Th1 Th 0.2500 0.2500 0.2500 1
```

Calculated values
- space-group type = F-43m, No. 216


Model b:
TbPrSmTh: relaxed, PBE.

The structure in CIF format:
```
data_TbPrSmTh
_chemical_formula_sum 'Tb1 Pr1 Sm1 Th1'
_cell_length_a 3.6130
_cell_length_b 3.6130
_cell_length_c 10.2919
_cell_angle_alpha 90.00
_cell_angle_beta 90.00
_cell_angle_gamma 90.00
_space_group_name_H-M_alt 'P 1'
_space_group_IT_number 1
loop_
_space_group_symop_operation_xyz
'x,y,z'
loop_
_atom_site_label
_atom_site_type_symbol
_atom_site_fract_x
_atom_site_fract_y
_atom_site_fract_z
_atom_site_occupancy
Tb1 Tb 0.0000 0.0000 0.0000 1
Pr1 Pr 0.5000 0.5000 0.7407 1
Sm1 Sm 0.0000 0.0000 0.4753 1
Th1 Th 0.5000 0.5000 0.2359 1
```

Calculated values
- space-group type = P4mm, No. 99


Stability, lowest: model a


Model a:
TbPrSmTl: relaxed, PBE.

The structure in CIF format:
```
data_TbPrSmTl
_chemical_formula_sum 'Tb1 Pr1 Sm1 Tl1'
_cell_length_a 4.8946
_cell_length_b 4.9431
_cell_length_c 5.0088
_cell_angle_alpha 90.00
_cell_angle_beta 90.00
_cell_angle_gamma 90.00
_space_group_name_H-M_alt 'P 1'
_space_group_IT_number 1
loop_
_space_group_symop_operation_xyz
'x,y,z'
loop_
_atom_site_label
_atom_site_type_symbol
_atom_site_fract_x
_atom_site_fract_y
_atom_site_fract_z
_atom_site_occupancy
Tb1 Tb 0.0000 0.0000 0.0000 1
Pr1 Pr 0.5000 0.0000 0.5000 1
Sm1 Sm 0.0000 0.5000 0.5000 1
Tl1 Tl 0.5000 0.5000 0.0000 1
```

Calculated values
- space-group type = Pmmm, No. 47


Model b:
TbPrSmTl: relaxed, PBE.

The structure in CIF format:
```
data_TbPrSmTl
_chemical_formula_sum 'Tb1 Pr1 Sm1 Tl1'
_cell_length_a 5.5890
_cell_length_b 5.5890
_cell_length_c 5.5890
_cell_angle_alpha 60.00
_cell_angle_beta 60.00
_cell_angle_gamma 60.00
_space_group_name_H-M_alt 'P 1'
_space_group_IT_number 1
loop_
_space_group_symop_operation_xyz
'x,y,z'
loop_
_atom_site_label
_atom_site_type_symbol
_atom_site_fract_x
_atom_site_fract_y
_atom_site_fract_z
_atom_site_occupancy
Tb1 Tb 0.0000 0.0000 0.0000 1
Pr1 Pr 0.7500 0.7500 0.7500 1
Sm1 Sm 0.2500 0.2500 0.2500 1
Tl1 Tl 0.5000 0.5000 0.5000 1
```

Calculated values
- space-group type = F-43m, No. 216


Stability, lowest: model b


Model a:
TbPrSmY: relaxed, PBE.

The structure in CIF format:
```
data_TbPrSmY
_chemical_formula_sum 'Tb1 Pr1 Sm1 Y1'
_cell_length_a 6.2591
_cell_length_b 6.2591
_cell_length_c 6.2591
_cell_angle_alpha 131.61
_cell_angle_beta 131.61
_cell_angle_gamma 70.84
_space_group_name_H-M_alt 'P 1'
_space_group_IT_number 1
loop_
_space_group_symop_operation_xyz
'x,y,z'
loop_
_atom_site_label
_atom_site_type_symbol
_atom_site_fract_x
_atom_site_fract_y
_atom_site_fract_z
_atom_site_occupancy
Tb1 Tb 0.0000 0.0000 0.0000 1
Pr1 Pr 0.7500 0.2500 0.5000 1
Sm1 Sm 0.5000 0.5000 0.0000 1
Y1 Y 0.2500 0.7500 0.5000 1
```

Calculated values
- space-group type = I-4m2, No. 119


Model b:
TbPrSmY: relaxed, PBE.

The structure in CIF format:
```
data_TbPrSmY
_chemical_formula_sum 'Tb1 Pr1 Sm1 Y1'
_cell_length_a 5.7602
_cell_length_b 5.7602
_cell_length_c 5.7602
_cell_angle_alpha 60.00
_cell_angle_beta 60.00
_cell_angle_gamma 60.00
_space_group_name_H-M_alt 'P 1'
_space_group_IT_number 1
loop_
_space_group_symop_operation_xyz
'x,y,z'
loop_
_atom_site_label
_atom_site_type_symbol
_atom_site_fract_x
_atom_site_fract_y
_atom_site_fract_z
_atom_site_occupancy
Tb1 Tb 0.0000 0.0000 0.0000 1
Pr1 Pr 0.7500 0.7500 0.7500 1
Sm1 Sm 0.2500 0.2500 0.2500 1
Y1 Y 0.5000 0.5000 0.5000 1
```

Calculated values
- space-group type = F-43m, No. 216


Stability, lowest: model b